Here is a relaxed structure of Rb2SeCl4 from Alexandria. Energies are from PBE-GGA.

a b c (Å): 7.4572 7.4572 8.9324
angles (deg): 90.00 90.00 90.00
Last column: nearest neighbours and their distance in Å.
Space group I4/mmm (No. 139)
One atom of each set of equivalent atoms:
1 Rb 0.0000 0.5000 0.2500 x4  8 Cl 3.46
2 Se 0.0000 0.0000 0.0000 x2  4 Cl 2.48
3 Cl 0.2347 0.2347 0.0000 x8  1 Se 2.48

The value obtained for the mass density is 2.62 g/cm3. The excess energy over the best structure of this formula in the dataset is 0.000 eV/f.u. The formation energy (no corrections) is -854 kJ/mol of formula units.

=====

Here is a relaxed structure of Rb3SeCl6 from Alexandria. Energies are from PBE-GGA.

a b c (Å): 7.9061 7.4821 13.5266
angles (deg): 90.00 117.31 90.00
Last column: nearest neighbours and their distance in Å.
Space group P2_1/c (No. 14)
One atom of each set of equivalent atoms:
1 Rb 0.0000 0.0000 0.0000 x2  6 Cl 3.20-3.32
2 Rb 0.2722 0.0597 0.7690 x4  5 Cl 3.27-3.50
3 Se 0.5000 0.0000 0.5000 x2  4 Cl 2.43
4 Cl 0.1583 0.0150 0.2640 x4  1 Se 3.10, 3 Rb 3.20-3.30
5 Cl 0.3253 0.6796 0.0718 x4  1 Se 2.43
6 Cl 0.3894 0.2301 0.0517 x4  1 Se 2.43

The value obtained for the mass density is 2.56 g/cm3. The excess energy over the best structure of this formula in the dataset is 0.000 eV/f.u. The formation energy (no corrections) is -1204 kJ/mol of formula units.

=====

Here is a relaxed structure of RbSeCl6 from Alexandria. Energies are from PBE-GGA.

a b c (Å): 9.8852 9.5561 7.0362
angles (deg): 90.00 131.29 90.00
Last column: nearest neighbours and their distance in Å.
Space group C2/m (No. 12)
One atom of each set of equivalent atoms:
1 Rb 0.0000 0.0000 0.0000 x2  8 Cl 3.55-3.93
2 Se 0.0000 0.5000 0.0000 x2  6 Cl 2.35-2.38
3 Cl 0.0073 0.3271 0.7686 x8  1 Se 2.35
4 Cl 0.1797 0.0000 0.6918 x4  1 Se 2.38

The value obtained for the mass density is 2.51 g/cm3. The formation energy (no corrections) is -486 kJ/mol of formula units.

=====

Here is a relaxed structure of RbSe2Cl from Alexandria. Energies are from PBE-GGA.

a b c (Å): 4.1787 4.1787 28.9932
angles (deg): 90.00 90.00 120.00
Last column: nearest neighbours and their distance in Å.
Space group R-3m (No. 166, hexagonal axes)
One atom of each set of equivalent atoms:
1 Rb 0.0000 0.0000 0.0000 x3  6 Se 3.44
2 Se 0.0000 0.0000 0.4181 x6  1 Cl 2.37
3 Cl 0.0000 0.0000 0.5000 x3  2 Se 2.37

The value obtained for the mass density is 3.17 g/cm3. The excess energy over the best structure of this formula in the dataset is 3.088 eV/f.u. The formation energy (no corrections) is 19 kJ/mol of formula units.

=====

Here is a relaxed structure of Rb2SeCl from Alexandria. Energies are from PBE-GGA.

a b c (Å): 8.2760 8.2760 8.2760
angles (deg): 90.00 90.00 90.00
Last column: nearest neighbours and their distance in Å.
Space group Fm-3m (No. 225)
One atom of each set of equivalent atoms:
1 Rb 0.2500 0.2500 0.2500 x8  4 Cl 3.58, 4 Se 3.58
2 Se 0.0000 0.0000 0.0000 x4  8 Rb 3.58
3 Cl 0.0000 0.0000 0.5000 x4  8 Rb 3.58

The value obtained for the mass density is 3.34 g/cm3. The excess energy over the best structure of this formula in the dataset is 0.509 eV/f.u. The formation energy (no corrections) is -428 kJ/mol of formula units.

=====

Here is a relaxed structure of Rb2SeCl4 from Alexandria. Energies are from PBE-GGA.

a b c (Å): 8.5661 8.0600 8.6227
angles (deg): 90.00 90.63 90.00
Last column: nearest neighbours and their distance in Å.
Space group P2_1/m (No. 11)
One atom of each set of equivalent atoms:
1 Rb 0.0008 0.2500 0.1835 x2  4 Cl 3.25
2 Rb 0.4975 0.2500 0.8808 x2  4 Cl 3.21
3 Se 0.0038 0.7500 0.2661 x2  2 Cl 2.21-2.22
4 Cl 0.1928 0.2500 0.5689 x2  1 Se 2.22
5 Cl 0.2013 0.7500 0.4338 x2  1 Se 2.21
6 Cl 0.2341 0.9997 0.0020 x4  4 Rb 3.21-3.25

The value obtained for the mass density is 2.19 g/cm3. The excess energy over the best structure of this formula in the dataset is 1.037 eV/f.u. The formation energy (no corrections) is -754 kJ/mol of formula units.